Record 1
The following is a DFT calculation (PBE) of SrTa2Cr after structural relaxation.

- Fermi-level density of states: 5.6 states/eV/cell
- Energy of formation: 1.347 eV/atom
- ΔE to the lowest computed polymorph: 0.757 eV/atom
- Symmetry: P4/mmm, No. 123
- Crystal system: tetragonal

Structure (extended XYZ):
```
4
Lattice="5.076 0.000 0.000 0.000 5.076 0.000 0.000 0.000 3.060" Properties=species:S:1:pos:R:3 pbc="T T T"
Sr 0.000 0.000 0.000
Ta 0.000 2.538 1.530
Ta 2.538 0.000 1.530
Cr 2.538 2.538 0.000
```



Record 2
The following is a DFT calculation (PBE) of La2PmCdN after structural relaxation.

- Raw formation energy: -722.6 meV per atom
- Fermi-level density of states: 5.2 states/eV/cell
- Symmetry: P4/mmm, No. 123
- Crystal system: tetragonal

Structure (extended XYZ):
```
5
Lattice="5.130 0.000 0.000 0.000 5.130 0.000 0.000 0.000 5.022" Properties=species:S:1:pos:R:3 pbc="T T T"
La 0.000 2.565 0.000
La 2.565 0.000 0.000
Pm 0.000 0.000 2.511
Cd 2.565 2.565 2.511
N 0.000 0.000 0.000
```



Record 3
The following is a DFT calculation (PBE) of AuSe2Cl2 after structural relaxation.

- Raw formation energy: 413.4 meV per atom
- Fermi-level density of states: 2.5 states/eV/cell
- ΔE to the lowest computed polymorph: 0.608 eV/atom
- Symmetry: I4/mmm, No. 139
- Crystal system: tetragonal

Structure (extended XYZ):
```
5
Lattice="-2.966 2.966 3.684 2.966 -2.966 3.684 2.966 2.966 -3.684" Properties=species:S:1:pos:R:3 pbc="T T T"
Au 0.000 0.000 0.000
Se 0.000 0.000 2.587
Se 0.000 0.000 4.781
Cl 2.966 0.000 1.842
Cl 0.000 2.966 1.842
```



Record 4
The following is a DFT calculation (PBE) of RbVSN2 after structural relaxation.

- Raw formation energy: 765.0 meV per atom
- Fermi-level density of states: 2.7 states/eV/cell
- ΔE to the lowest computed polymorph: 0.563 eV/atom
- Symmetry: P4/mmm, No. 123
- Crystal system: tetragonal

Structure (extended XYZ):
```
5
Lattice="3.901 0.000 0.000 0.000 3.901 0.000 0.000 0.000 9.759" Properties=species:S:1:pos:R:3 pbc="T T T"
Rb 0.000 0.000 0.000
V 0.000 0.000 4.880
S 1.950 1.950 0.000
N 0.000 1.950 4.880
N 1.950 0.000 4.880
```



Record 5
The following is a DFT calculation (PBE) of Pa2PAu after structural relaxation.

- Fermi-level density of states: 6.0 states/eV/cell
- Energy of formation: -0.631 eV/atom
- ΔE to the lowest computed polymorph: 0.025 eV/atom
- Symmetry: P4/mmm, No. 123
- Crystal system: tetragonal

Structure (extended XYZ):
```
4
Lattice="3.315 0.000 0.000 0.000 3.315 0.000 0.000 0.000 7.671" Properties=species:S:1:pos:R:3 pbc="T T T"
Pa 0.000 0.000 1.708
Pa 0.000 0.000 5.962
P 1.658 1.658 0.000
Au 1.658 1.658 3.835
```



Record 6
The following is a DFT calculation (PBE) of HoP2Rh3 after structural relaxation.

- Fermi-level density of states: 7.3 states/eV/cell
- Energy of formation: -1.056 eV/atom
- Symmetry: C2/m, No. 12
- Crystal system: monoclinic

Structure (extended XYZ):
```
18
Lattice="7.898 -1.933 0.000 7.898 1.933 0.000 -2.952 0.000 9.171" Properties=species:S:1:pos:R:3 pbc="T T T"
Ho 0.000 0.000 0.000
Ho 0.395 0.000 6.346
Ho 12.449 0.000 2.825
P 2.736 0.000 1.211
P 4.115 0.000 5.031
P 6.601 0.000 2.027
P 6.243 0.000 7.144
P 8.729 0.000 4.140
P 10.108 0.000 7.960
Rh -0.327 0.000 2.966
Rh 2.355 0.000 3.605
Rh 4.945 0.000 0.429
Rh 3.565 0.000 7.301
Rh 6.422 0.000 4.585
Rh 9.279 0.000 1.870
Rh 7.898 0.000 8.742
Rh 10.489 0.000 5.566
Rh 13.170 0.000 6.205
```



Record 7
The following is a DFT calculation (PBE) of SrOs2Pt after structural relaxation.

- Fermi-level density of states: 3.1 states/eV/cell
- Energy of formation: 0.280 eV/atom
- ΔE to the lowest computed polymorph: 0.014 eV/atom
- Symmetry: P4mm, No. 99
- Crystal system: tetragonal

Structure (extended XYZ):
```
4
Lattice="2.943 0.000 0.000 0.000 2.943 0.000 0.000 0.000 8.416" Properties=species:S:1:pos:R:3 pbc="T T T"
Sr 0.000 0.000 0.000
Os 0.000 0.000 4.075
Os 1.472 1.472 2.526
Pt 1.472 1.472 5.972
```



Record 8
The following is a DFT calculation (PBE) of MgCrCuSn2 after structural relaxation.

- Fermi-level density of states: 2.2 states/eV/cell
- Energy of formation: 0.512 eV/atom
- Symmetry: P4/mmm, No. 123
- Crystal system: tetragonal

Structure (extended XYZ):
```
5
Lattice="5.015 0.000 0.000 0.000 5.015 0.000 0.000 0.000 4.830" Properties=species:S:1:pos:R:3 pbc="T T T"
Mg 0.000 0.000 0.000
Cr 2.508 2.508 0.000
Cu 0.000 0.000 2.415
Sn 0.000 2.508 2.415
Sn 2.508 0.000 2.415
```



Record 9
The following is a DFT calculation (PBE) of PrY4Er2 after structural relaxation.

- Fermi-level density of states: 18.6 states/eV/cell
- Energy of formation: 0.171 eV/atom
- ΔE to the lowest computed polymorph: 0.145 eV/atom
- Symmetry: P1, No. 1
- Crystal system: triclinic

Structure (extended XYZ):
```
14
Lattice="6.410 0.000 0.000 3.203 7.987 0.000 3.194 -0.585 9.001" Properties=species:S:1:pos:R:3 pbc="T T T"
Pr 0.000 0.000 0.000
Pr 6.405 0.789 8.390
Y 5.055 7.006 5.778
Y 3.710 6.336 2.672
Y 1.862 1.769 2.611
Y 5.294 3.302 1.396
Y 6.612 6.685 1.232
Y 8.497 5.465 7.022
Y 6.920 2.430 5.712
Y 9.798 2.086 7.186
Er 5.565 4.102 8.680
Er 3.967 3.739 4.564
Er 4.801 0.389 4.205
Er 7.176 5.035 3.857
```



Record 10
The following is a DFT calculation (PBE) of CuWBr4 after structural relaxation.

- Raw formation energy: 1687.5 meV per atom
- Fermi-level density of states: 8.4 states/eV/cell
- Symmetry: F-43m, No. 216
- Crystal system: cubic

Structure (extended XYZ):
```
6
Lattice="0.000 4.335 4.335 4.335 0.000 4.335 4.335 4.335 0.000" Properties=species:S:1:pos:R:3 pbc="T T T"
Cu 0.000 0.000 0.000
W 6.502 6.502 6.502
Br 3.253 3.253 3.253
Br 5.417 5.417 3.253
Br 5.417 3.253 5.417
Br 3.253 5.417 5.417
```



Record 11
The following is a DFT calculation (PBE) of Rb2ScHg2 after structural relaxation.

- Fermi-level density of states: 9.4 states/eV/cell
- Energy of formation: 0.065 eV/atom
- Symmetry: P4/mbm, No. 127
- Crystal system: tetragonal

Structure (extended XYZ):
```
10
Lattice="7.775 0.000 0.000 0.000 7.775 0.000 0.000 0.000 6.201" Properties=species:S:1:pos:R:3 pbc="T T T"
Rb 1.361 2.526 0.000
Rb 2.526 6.414 0.000
Rb 5.248 1.361 0.000
Rb 6.414 5.248 0.000
Sc 0.000 0.000 3.101
Sc 3.887 3.887 3.101
Hg 1.090 4.978 3.101
Hg 2.797 1.090 3.101
Hg 4.978 6.684 3.101
Hg 6.684 2.797 3.101
```



Record 12
The following is a DFT calculation (PBE) of Pm5Pr2Dy5 after structural relaxation.

- Fermi-level density of states: 17.8 states/eV/cell
- Energy of formation: 0.016 eV/atom
- Symmetry: C2/m, No. 12
- Crystal system: monoclinic

Structure (extended XYZ):
```
12
Lattice="7.678 -2.552 0.000 7.678 2.552 0.000 -5.132 0.000 10.233" Properties=species:S:1:pos:R:3 pbc="T T T"
Pm 0.000 0.000 0.000
Pm -0.011 0.000 5.110
Pm 2.542 0.000 2.538
Pm 7.682 0.000 7.695
Pm 10.235 0.000 5.123
Pr -2.580 0.000 7.682
Pr 12.805 0.000 2.551
Dy -0.014 0.000 10.225
Dy 2.546 0.000 7.681
Dy 5.112 0.000 5.116
Dy 7.679 0.000 2.552
Dy 10.238 0.000 0.008
```



Among the records above, which one has the highest Fermi-level density of states?
PrY4Er2



Look up the Fermi-level density of states of the first one.
5.6 states/eV/cell



The highest Fermi-level density of states belongs to which entry?
PrY4Er2



Look up the Fermi-level density of states of the twelfth one.
17.8 states/eV/cell